Tb3PrY6Th2 (GGA-PBE, relaxed); final energy = -71.9 eV/cell; spin magnetization = 0.0000 μB/atom; symmetry = C2/m, No. 12
1.0
3.113 -5.389 0.000
3.113 5.389 0.000
-2.082 0.000 11.614
Tb Pr Y Th
3 1 6 2
Cartesian
0.000 0.000 0.000 Tb
3.113 1.793 0.000 Tb
3.113 -1.793 0.000 Tb
2.072 0.000 5.807 Pr
1.018 1.822 2.922 Y
-0.033 0.000 8.693 Y
1.018 -1.822 2.922 Y
3.125 1.822 8.692 Y
4.176 0.000 2.921 Y
3.125 -1.822 8.692 Y
2.072 3.592 5.807 Th
2.072 -3.592 5.807 Th